Compound: SrBeV3
Source: Alexandria via LeMat-Bulk
Functional: PBE
Structure: optimized geometry

Cell: 4.5156 4.5156 4.5156 Å, 90.00 90.00 90.00°
With the nearest neighbours (Å) after each atom.
Fractional positions:
Be1 0.0000 0.0000 0.0000  6 V 2.26
V1 0.0000 0.5000 0.0000  2 Be 2.26
V2 0.0000 0.0000 0.5000  2 Be 2.26
V3 0.5000 0.0000 0.0000  2 Be 2.26
Sr1 0.5000 0.5000 0.5000  12 V 3.19

Summary:
total magnetic moment: 5.2 μB/f.u.
SG: Pm-3m

=====

Compound: SrBe3V
Source: Alexandria via LeMat-Bulk
Functional: PBE
Structure: optimized geometry

Cell: 4.9410 4.9410 4.9410 Å, 90.00 90.00 90.00°
With the nearest neighbours (Å) after each atom.
Fractional positions:
V1 0.5000 0.5000 0.5000  12 Be 3.49
Be1 0.5000 0.0000 0.0000  2 Sr 2.47
Be2 0.0000 0.0000 0.5000  2 Sr 2.47
Be3 0.0000 0.5000 0.0000  2 Sr 2.47
Sr1 0.0000 0.0000 0.0000  6 Be 2.47

Summary:
total magnetic moment: 3.2 μB/f.u.
SG: Pm-3m

=====

Compound: SrBe2W
Source: Alexandria via LeMat-Bulk
Functional: PBE
Structure: optimized geometry

Cell: 3.4900 2.9053 7.2504 Å, 66.30 90.00 90.00°
With the nearest neighbours (Å) after each atom.
Fractional positions:
Sr1 0.5000 0.2500 0.2500  2 Sr 2.91, 8 Be 3.20
Be1 0.0000 0.4106 0.5890  1 Be 2.14
Be2 0.0000 0.0894 0.9110  1 Be 2.14
W1 0.5000 0.7500 0.7500  8 Be 2.51

Summary:
total magnetic moment: 0.0 μB/f.u.
SG: P2/m

=====

Compound: Sr3BeW
Source: Alexandria via LeMat-Bulk
Functional: PBE
Structure: optimized geometry

Cell: 5.7848 5.7848 5.7848 Å, 90.00 90.00 90.00°
With the nearest neighbours (Å) after each atom.
Fractional positions:
W1 0.5000 0.5000 0.5000  12 Sr 4.09
Sr1 0.5000 0.0000 0.0000  2 Be 2.89
Sr2 0.0000 0.5000 0.0000  2 Be 2.89
Sr3 0.0000 0.0000 0.5000  2 Be 2.89
Be1 0.0000 0.0000 0.0000  6 Sr 2.89

Summary:
total magnetic moment: 4.3 μB/f.u.
SG: Pm-3m

=====

Compound: SrBe2W
Source: Alexandria via LeMat-Bulk
Functional: PBE
Structure: optimized geometry

Cell: 4.5654 4.5654 4.5654 Å, 60.00 60.00 60.00°
With the nearest neighbours (Å) after each atom.
Fractional positions:
Be1 0.2500 0.2500 0.2500  4 W 2.80, 4 Sr 2.80
Be2 0.7500 0.7500 0.7500  4 W 2.80, 4 Sr 2.80
Sr1 0.0000 0.0000 0.0000  8 Be 2.80
W1 0.5000 0.5000 0.5000  8 Be 2.80

Summary:
total magnetic moment: 0.0 μB/f.u.
SG: Fm-3m

=====

Compound: SrBe2W
Source: Alexandria via LeMat-Bulk
Functional: PBE
Structure: optimized geometry

Cell: 2.8539 2.8539 7.7797 Å, 90.00 90.00 90.00°
With the nearest neighbours (Å) after each atom.
Fractional positions:
Be1 0.0000 0.0000 0.0371  4 Be 2.23
Be2 0.5000 0.5000 0.1596  4 Be 2.23
W1 0.5000 0.5000 0.8297  5 Be 2.57-2.58, 4 W 2.85
Sr1 0.0000 0.0000 0.4736  4 Sr 2.85, 4 Be 3.17

Summary:
total magnetic moment: 0.0 μB/f.u.
SG: P4mm

=====

Compound: SrBe2W
Source: Alexandria via LeMat-Bulk
Functional: PBE
Structure: optimized geometry

Cell: 9.4436 9.4436 9.4436 Å, 17.50 17.50 17.50°
With the nearest neighbours (Å) after each atom.
Fractional positions:
Be1 0.9955 0.9955 0.9955  3 Be 2.36, 3 W 2.59
Be2 0.2687 0.2687 0.2687  3 Be 2.36
W1 0.7335 0.7335 0.7335  3 Be 2.59, 6 W 2.87
Sr1 0.5024 0.5024 0.5024  6 Sr 2.87

Summary:
total magnetic moment: 0.0 μB/f.u.
SG: R3m

=====

Compound: SrBe2W
Source: Alexandria via LeMat-Bulk
Functional: PBE
Structure: optimized geometry

Cell: 4.7851 4.7852 2.7697 Å, 90.02 90.02 90.33°
With the nearest neighbours (Å) after each atom.
Fractional positions:
Be1 0.5000 0.5000 0.0000  4 W 2.76, 4 Sr 2.76, 2 Be 2.77
Be2 0.0000 0.0000 0.0000  4 Sr 2.76, 4 W 2.76, 2 Be 2.77
Sr1 0.5000 0.0000 0.5000  8 Be 2.76, 2 Sr 2.77
W1 0.0000 0.5000 0.5000  8 Be 2.76, 2 W 2.77

Summary:
total magnetic moment: 0.0 μB/f.u.
SG: Cmmm

=====

What are the offset from the most stable computed form values for these records? In order: 0, 1615, 0, 0, 640, 218, 644, 359 meV/atom.